No. 1
NaFe2H7: relaxed, PBE.

Values from the calculation:
DOS(E_F): 0.468 states/eV per atom
Energy: -4.106 eV/atom
Space-group type: Cmmm, No. 65

a b c (Å): 5.0198 5.0198 3.1990
angles (deg): 90.00 90.00 121.37
Fractional coordinates of all 10 atoms:
Na (0.0000, 0.0000, 0.0000)
Fe (0.3072, 0.6928, 0.5000)
Fe (0.6928, 0.3072, 0.5000)
H (0.0322, 0.3291, 0.5000)
H (0.3291, 0.0322, 0.5000)
H (0.3552, 0.6448, 0.0000)
H (0.5000, 0.5000, 0.5000)
H (0.6448, 0.3552, 0.0000)
H (0.6709, 0.9678, 0.5000)
H (0.9678, 0.6709, 0.5000)

No. 2
Na3FeH7: relaxed, PBE.

Values from the calculation:
Energy: -3.436 eV/atom
Space-group type: Fmm2, No. 42

a b c (Å): 5.2568 5.1442 5.3198
angles (deg): 60.29 58.20 61.51
Fractional coordinates of all 11 atoms:
Na (0.0000, 0.0000, 0.0000)
Na (0.2384, 0.2384, 0.2616)
Na (0.7384, 0.7384, 0.7616)
Fe (0.4802, 0.4802, 0.5198)
H (0.1888, 0.4229, 0.8112)
H (0.2732, 0.6907, 0.3093)
H (0.3373, 0.7396, 0.6627)
H (0.4229, 0.1888, 0.5771)
H (0.6907, 0.2732, 0.7268)
H (0.6957, 0.6957, 0.3043)
H (0.7396, 0.3373, 0.2604)